1.
An optimized crystal structure of KAlHg2Cl8. Source: the Alexandria database, functional GGA-PBE.

Cell lengths 6.408, 7.228, 8.805 Å; angles 66.73, 88.83, 96.22 degrees
Positions (direct):
Cl  0.553  0.712  0.566
Cl  0.128  0.784  0.256
Cl  0.722  0.733  0.032
Cl  0.872  0.216  0.744
Cl  0.199  0.875  0.854
Cl  0.447  0.288  0.434
Cl  0.278  0.267  0.968
Cl  0.801  0.125  0.146
K  0.000  0.000  0.500
Hg  0.470  0.273  0.719
Hg  0.530  0.727  0.281
Al  0.000  0.000  0.000

Properties
- ΔE_f (raw): -13.38 eV/f.u.
- Space group: No. 2
- Final energy: -2.80 eV per atom
- Spin magnetization: 0.00 μB per formula unit

2.
An optimized crystal structure of Ho3ErTm2Bi6. Source: the Alexandria database, functional GGA-PBE.

Cell lengths 4.444, 8.893, 9.939 Å; angles 102.88, 102.92, 90.00 degrees
Positions (direct):
Bi  0.333  0.915  0.667
Bi  0.001  0.250  0.001
Bi  0.667  0.582  0.334
Bi  0.667  0.085  0.333
Bi  0.999  0.750  0.999
Bi  0.333  0.418  0.666
Er  0.500  0.000  0.000
Tm  0.833  0.667  0.667
Tm  0.167  0.333  0.333
Ho  0.834  0.167  0.667
Ho  0.500  0.500  0.000
Ho  0.166  0.833  0.333

Properties
- Space group: No. 12
- Final energy: -5.02 eV per atom
- Spin magnetization: 0.00 μB per formula unit

3.
An optimized crystal structure of K2SiAg2Te4. Source: the Alexandria database, functional GGA-PBE.

Cell lengths 6.277, 7.275, 7.275 Å; angles 54.22, 90.48, 90.48 degrees
Positions (direct):
Te  0.237  0.139  0.608
Te  0.763  0.861  0.392
Te  0.763  0.392  0.861
Te  0.237  0.608  0.139
Ag  0.136  0.094  0.094
Ag  0.864  0.906  0.906
K  0.728  0.367  0.367
K  0.272  0.633  0.633
Si  0.500  0.000  0.000

Properties
- ΔE_f (raw): -1.90 eV/f.u.
- Space group: No. 12
- Final energy: -3.09 eV per atom
- Spin magnetization: 0.00 μB per formula unit